# 1
12
Lattice="2.8510 -6.5210 0.0000 2.8510 6.5210 0.0000 0.0000 0.0000 5.9149" Properties=species:S:1:pos:R:3 comment="ThGaCuPt3 PBE relaxed" crystal_system=orthorhombic e_tot_ev_per_atom=-6.09 pbc="T T T"
Th 2.8510 4.2079 4.4362
Th 2.8510 -4.2079 1.4787
Ga 2.8510 4.9488 1.4787
Ga 2.8510 -4.9488 4.4362
Cu 2.8510 1.5144 4.4362
Cu 2.8510 -1.5144 1.4787
Pt 1.4453 0.0000 0.0000
Pt 1.4453 0.0000 2.9575
Pt 2.8510 2.4127 1.4787
Pt 2.8510 -2.4127 4.4362
Pt 4.2568 0.0000 0.0000
Pt 4.2568 0.0000 2.9575

---

# 2
16
Lattice="6.7997 0.0000 0.0000 0.0000 6.7997 0.0000 0.0000 0.0000 6.7997" Properties=species:S:1:pos:R:3 comment="ThGaCuPt PBE relaxed" crystal_system=cubic e_tot_ev_per_atom=-5.73 pbc="T T T"
Th 0.0000 0.0000 0.0000
Th 0.0000 3.3998 3.3998
Th 3.3998 0.0000 3.3998
Th 3.3998 3.3998 0.0000
Ga 0.0000 0.0000 3.3998
Ga 0.0000 3.3998 0.0000
Ga 3.3998 0.0000 0.0000
Ga 3.3998 3.3998 3.3998
Cu 1.6999 1.6999 1.6999
Cu 1.6999 5.0997 5.0997
Cu 5.0997 1.6999 5.0997
Cu 5.0997 5.0997 1.6999
Pt 1.6999 1.6999 5.0997
Pt 1.6999 5.0997 1.6999
Pt 5.0997 1.6999 1.6999
Pt 5.0997 5.0997 5.0997

---

# 3
10
Lattice="0.0000 4.6886 4.6886 4.6886 0.0000 4.6886 4.6886 4.6886 0.0000" Properties=species:S:1:pos:R:3 comment="Th2GaCuPt6 PBE relaxed" crystal_system=cubic e_tot_ev_per_atom=-6.21 pbc="T T T"
Th 2.3443 2.3443 2.3443
Th 7.0330 7.0330 7.0330
Ga 0.0000 0.0000 0.0000
Cu 4.6886 4.6886 4.6886
Pt 4.6886 4.6886 2.3485
Pt 4.6886 2.3485 4.6886
Pt 7.0288 4.6886 4.6886
Pt 2.3485 4.6886 4.6886
Pt 4.6886 7.0288 4.6886
Pt 4.6886 4.6886 7.0288

---

# 4
8
Lattice="2.1237 1.2261 8.9926 -2.1237 1.2261 8.9926 0.0000 -2.4523 8.9926" Properties=species:S:1:pos:R:3 comment="ThGa4Cu2Pt PBE relaxed" crystal_system=trigonal e_tot_ev_per_atom=-4.61 pbc="T T T"
Th 0.0000 0.0000 0.0000
Ga 0.0000 0.0000 3.4384
Ga 0.0000 0.0000 10.8506
Ga 0.0000 0.0000 16.1272
Ga 0.0000 0.0000 23.5395
Cu 0.0000 0.0000 6.7294
Cu 0.0000 0.0000 20.2485
Pt 0.0000 0.0000 13.4889

---

# 5
9
Lattice="4.1247 0.0000 0.0000 0.0000 4.1247 0.0000 0.0000 0.0000 9.6765" Properties=species:S:1:pos:R:3 comment="ThGa2CuPt5 PBE relaxed" crystal_system=tetragonal e_tot_ev_per_atom=-5.89 pbc="T T T"
Th 0.0000 0.0000 0.0000
Ga 2.0623 2.0623 3.6470
Ga 2.0623 2.0623 6.0294
Cu 0.0000 0.0000 4.8382
Pt 0.0000 2.0623 2.1993
Pt 0.0000 2.0623 7.4772
Pt 2.0623 0.0000 2.1993
Pt 2.0623 0.0000 7.4772
Pt 2.0623 2.0623 0.0000

---

# 6
10
Lattice="4.3092 0.0000 0.0000 0.0000 4.3092 0.0000 0.0000 0.0000 10.3333" Properties=species:S:1:pos:R:3 comment="Th2Ga4CuPt3 PBE relaxed" crystal_system=tetragonal e_tot_ev_per_atom=-5.76 pbc="T T T"
Th 0.0000 2.1546 2.5683
Th 2.1546 0.0000 7.7650
Ga 0.0000 0.0000 5.1666
Ga 0.0000 2.1546 9.0418
Ga 2.1546 0.0000 1.2914
Ga 2.1546 2.1546 5.1666
Cu 2.1546 2.1546 0.0000
Pt 0.0000 0.0000 0.0000
Pt 0.0000 2.1546 6.5681
Pt 2.1546 0.0000 3.7652

---

# 7
12
Lattice="2.8186 -6.4896 0.0000 2.8186 6.4896 0.0000 0.0000 0.0000 5.6761" Properties=species:S:1:pos:R:3 comment="TmGaCuPt3 PBE relaxed" crystal_system=orthorhombic e_tot_ev_per_atom=-5.58 pbc="T T T"
Tm 2.8186 4.3083 4.2571
Tm 2.8186 -4.3083 1.4190
Ga 2.8186 4.8695 1.4190
Ga 2.8186 -4.8695 4.2571
Cu 2.8186 1.6627 4.2571
Cu 2.8186 -1.6627 1.4190
Pt 1.4410 0.0000 0.0000
Pt 1.4410 0.0000 2.8380
Pt 2.8186 2.3929 1.4190
Pt 2.8186 -2.3929 4.2571
Pt 4.1962 0.0000 0.0000
Pt 4.1962 0.0000 2.8380

---

# 8
8
Lattice="2.1851 1.2616 7.9607 -2.1851 1.2616 7.9607 0.0000 -2.5231 7.9607" Properties=species:S:1:pos:R:3 comment="TmGa2CuPt4 PBE relaxed" crystal_system=trigonal e_tot_ev_per_atom=-5.56 pbc="T T T"
Tm 0.0000 0.0000 0.0000
Ga 0.0000 0.0000 5.8438
Ga 0.0000 0.0000 18.0384
Cu 0.0000 0.0000 11.9411
Pt 0.0000 0.0000 3.0836
Pt 0.0000 0.0000 9.4474
Pt 0.0000 0.0000 14.4348
Pt 0.0000 0.0000 20.7987